Entry 1:
Material: Ho2ErTm8
Method: DFT, PBE
State: relaxed

Structure (POSCAR):
```
Ho2ErTm8
1.0
5.651 0.607 -1.187
-1.742 6.180 -3.191
-0.890 0.570 9.284
Tm Ho Er
8 2 1
direct
0.144 0.348 0.250
0.894 0.098 0.750
0.736 0.453 0.000
0.703 0.203 0.405
0.297 0.797 0.595
0.264 0.547 0.000
0.106 0.902 0.250
0.856 0.652 0.750
0.690 0.690 0.380
0.310 0.310 0.620
0.500 0.000 0.000
```

Calculated values
D(E_F) = 14.7 states/eV per cell
SG = C2/m (12)
E = -47.7 eV per cell
ΔE_f = 0.1645 eV/atom
Total magnetization = 0.00 μB/atom
Energy above the most stable polymorph in this dataset = 1.300 kcal/mol of atoms

=====

Entry 2:
Material: SiBSe2N
Method: DFT, PBE
State: relaxed

Structure (POSCAR):
```
SiBSe2N
1.0
-1.802 2.500 -5.175
-5.520 -2.263 0.830
-0.688 2.146 1.276
Si B Se N
1 1 2 1
direct
0.500 0.500 0.500
0.000 0.000 0.000
0.000 0.500 0.000
0.500 0.000 0.000
0.000 0.000 0.500
```

Calculated values
D(E_F) = 3.0 states/eV per cell
SG = P4/mmm (123)
E = -25.8 eV per cell
Total magnetization = 0.00 μB/atom
Energy above the most stable polymorph in this dataset = 0.000 kcal/mol of atoms

=====

Entry 3:
Material: PmMg2Cd6
Method: DFT, PBE
State: relaxed

Structure (POSCAR):
```
PmMg2Cd6
1.0
9.134 0.000 0.000
4.567 7.911 0.000
4.567 2.637 7.458
Pm Mg Cd
2 4 12
direct
0.500 0.500 0.500
0.750 0.750 0.750
0.125 0.125 0.125
0.125 0.625 0.125
0.125 0.125 0.625
0.625 0.125 0.125
0.258 0.258 0.742
0.742 0.742 0.258
0.258 0.742 0.258
0.258 0.742 0.742
0.508 0.508 0.992
0.508 0.992 0.992
0.742 0.258 0.742
0.992 0.992 0.508
0.508 0.992 0.508
0.992 0.508 0.508
0.742 0.258 0.258
0.992 0.508 0.992
```

Calculated values
D(E_F) = 12.6 states/eV per cell
SG = Fd-3m (227)
E = -22.3 eV per cell
ΔE_f = 0.2551 eV/atom
Total magnetization = 0.00 μB/atom
Energy above the most stable polymorph in this dataset = 9.185 kcal/mol of atoms

=====

Entry 4:
Material: Sm2Y3Er3
Method: DFT, PBE
State: relaxed

Structure (POSCAR):
```
Sm2Y3Er3
1.0
-2.083 5.030 -1.856
-2.411 0.988 5.383
8.566 0.403 0.390
Sm Y Er
2 3 3
direct
0.749 0.686 0.499
0.251 0.314 0.501
0.870 0.319 0.740
0.130 0.681 0.260
0.000 0.000 0.000
0.371 0.921 0.743
0.500 0.500 0.000
0.629 0.079 0.257
```

Calculated values
D(E_F) = 14.2 states/eV per cell
SG = C2/m (12)
E = -41.7 eV per cell
ΔE_f = 0.0973 eV/atom
Total magnetization = 0.00 μB/atom

=====

Entry 5:
Material: SmPa2Re
Method: DFT, PBE
State: relaxed

Structure (POSCAR):
```
SmPa2Re
1.0
-0.608 -3.153 -0.879
2.462 0.149 -2.236
5.788 -2.840 6.185
Re Pa Sm
1 2 1
direct
0.500 0.500 0.000
0.000 0.000 0.798
0.000 0.000 0.202
0.500 0.500 0.500
```

Calculated values
D(E_F) = 8.8 states/eV per cell
SG = P4/mmm (123)
E = -35.6 eV per cell
ΔE_f = 0.1423 eV/atom
Total magnetization = 0.00 μB/atom
Energy above the most stable polymorph in this dataset = 0.000 kcal/mol of atoms

=====

Entry 6:
Material: LaPm5PrY2
Method: DFT, PBE
State: relaxed

Structure (POSCAR):
```
LaPm5PrY2
1.0
5.747 0.000 0.000
-2.873 10.113 0.000
0.000 0.000 10.824
La Pm Pr Y
2 10 2 4
direct
0.582 0.165 0.951
0.418 0.835 0.451
0.392 0.785 0.027
0.717 0.434 0.808
0.478 0.956 0.740
0.295 0.590 0.703
0.981 0.963 0.528
0.608 0.215 0.527
0.283 0.566 0.308
0.522 0.044 0.240
0.705 0.410 0.203
0.019 0.037 0.028
0.794 0.588 0.508
0.206 0.412 0.008
0.883 0.766 0.825
0.111 0.221 0.733
0.117 0.234 0.325
0.889 0.779 0.233
```

Calculated values
D(E_F) = 28.0 states/eV per cell
SG = Cmc2_1 (36)
E = -90.2 eV per cell
ΔE_f = 0.1415 eV/atom
Total magnetization = 0.00 μB/atom